No. 1
# Ho6Er2TmTh (PBE, relaxed)
# Fermi-level density of states   56.44 states/eV/cell
# Magnetic moment   0.000 μB per atom
# DFT formation energy   0.15 eV/atom
data_Ho6Er2TmTh
_chemical_formula_sum 'Ho24 Er8 Tm4 Th4'
_cell_length_a 9.269
_cell_length_b 15.022
_cell_length_c 9.061
_cell_angle_alpha 90.00
_cell_angle_beta 93.12
_cell_angle_gamma 90.00
_symmetry_space_group_name_H-M 'C 1 2/c 1'
_symmetry_Int_Tables_number 15
_symmetry_space_group_name_Hall '-C 2yc'
loop_
_atom_site_label
_atom_site_type_symbol
_atom_site_fract_x
_atom_site_fract_y
_atom_site_fract_z
Ho1 Ho 0.050 0.175 0.440
Ho2 Ho 0.099 0.381 0.605
Ho3 Ho 0.216 0.219 0.809
Er1 Er 0.242 0.445 0.942
Tm1 Tm 0.000 0.418 0.250
Th1 Th 0.000 0.035 0.750



No. 2
# CaSmY2 (PBE, relaxed)
# Fermi-level density of states   18.98 states/eV/cell
# ΔE to the lowest computed polymorph   0.0 meV/atom
# Magnetic moment   0.000 μB per atom
# DFT formation energy   0.06 eV/atom
data_CaSmY2
_chemical_formula_sum 'Ca3 Sm3 Y6'
_cell_length_a 3.6319
_cell_length_b 3.6319
_cell_length_c 36.2589
_cell_angle_alpha 90.00
_cell_angle_beta 90.00
_cell_angle_gamma 120.00
_symmetry_space_group_name_H-M 'R 3 m'
_symmetry_Int_Tables_number 160
_symmetry_space_group_name_Hall 'R 3 -2"'
loop_
_atom_site_label
_atom_site_type_symbol
_atom_site_fract_x
_atom_site_fract_y
_atom_site_fract_z
Ca1 Ca 0.0000 0.0000 0.0000
Sm1 Sm 0.0000 0.0000 0.8342
Y1 Y 0.0000 0.0000 0.2465
Y2 Y 0.0000 0.0000 0.4213



Raw total energy readings, ordered: -0.1727, -0.1785 hartree per atom